Below is an optimized crystal structure of Fe2Rh, with properties calculated at the PBE level.

```
3
Lattice="4.060 0.000 0.000 -2.030 3.516 0.000 0.000 0.000 2.558" Properties=species:S:1:pos:R:3 pbc="T T T"
Fe 2.030 1.172 1.279
Fe 0.000 2.344 1.279
Rh 0.000 0.000 0.000
```

Calculated values
Space group   P6/mmm (191)
ΔH_f (0 K)   0.137 eV/atom
DOS(E_F)   1.4261 states/eV/atom